DFT (PBE) results for CaSbAu3 after structural relaxation.

The excess energy over the best structure of this formula in the dataset comes out at 32.1 meV/atom. The value obtained for the total DFT energy (no corrections) is -3.612 eV per atom. The formation energy from raw total energies comes out at -0.42 eV/atom.

It has space group Pmn2_1 (No. 31), with a = 5.8878 Å, b = 7.3096 Å, c = 5.4277 Å, α = 90.00°, β = 90.00° and γ = 90.00°. The inequivalent atoms are Ca at (0.0000, 0.1648, 0.0000), Sb at (0.0000, 0.5741, 0.3723), Au at (0.0000, 0.9206, 0.5446) and Au at (0.2453, 0.7549, 0.9965).